Entry 1:
Compound: Ac8PdPt3Br4
Source: the Alexandria database
Functional: GGA-PBE
Structure: relaxed

## Properties
- SG: C2/m (12)
- ΔE_f (raw): -1.29 eV per atom
- Total magnetization: 0.00 μB/cell
- Uncorrected energy: -5.217 eV per atom

Cell lengths 8.9048, 8.9048, 9.7162 Å; angles 117.33, 117.33, 60.01 degrees
With the nearest neighbours (Å) after each atom.
Element x y z (fractional)
Ac 0.2298 0.7336 0.6963  2 Pt 3.03, 1 Pd 3.05
Ac 0.2321 0.2321 0.6956  3 Pt 3.03
Ac 0.2665 0.2665 0.3037  2 Pt 3.03, 1 Pd 3.05
Ac 0.2664 0.7702 0.3037  2 Pt 3.03, 1 Pd 3.05
Ac 0.7336 0.2298 0.6963  2 Pt 3.03, 1 Pd 3.05
Ac 0.7335 0.7335 0.6963  2 Pt 3.03, 1 Pd 3.05
Ac 0.7679 0.7679 0.3044  3 Pt 3.03
Ac 0.7702 0.2664 0.3037  2 Pt 3.03, 1 Pd 3.05
Pd 0.5000 0.5000 0.5000  6 Ac 3.05
Pt 0.0000 0.0000 0.5000  6 Ac 3.03
Pt 0.0000 0.5000 0.5000  6 Ac 3.03
Pt 0.5000 0.0000 0.5000  6 Ac 3.03
Br 0.0000 0.0000 0.0000  6 Ac 3.57-3.58
Br 0.0000 0.5000 0.0000  6 Ac 3.59-3.60
Br 0.5000 0.0000 0.0000  6 Ac 3.59-3.60
Br 0.5000 0.5000 0.0000  6 Ac 3.59-3.60

---

Entry 2:
Compound: Ho4TmMgSe8
Source: the Alexandria database
Functional: GGA-PBE
Structure: relaxed

## Properties
- SG: R3m (160)
- ΔE_f (raw): -1.71 eV per atom
- Total magnetization: 0.00 μB/cell
- Uncorrected energy: -5.442 eV per atom

Cell lengths 8.2960, 8.2960, 8.2960 Å; angles 60.02, 60.02, 60.02 degrees
With the nearest neighbours (Å) after each atom.
Element x y z (fractional)
Ho 0.0000 0.0000 0.0000  4 Se 2.71-2.72
Ho 0.3784 0.3784 0.8656  6 Se 2.85-2.88
Ho 0.3784 0.8656 0.3784  6 Se 2.85-2.88
Ho 0.8656 0.3784 0.3784  6 Se 2.85-2.88
Tm 0.3786 0.3786 0.3786  6 Se 2.83-2.86
Mg 0.7500 0.7500 0.7500  4 Se 2.62-2.63
Se 0.1333 0.1333 0.1333  4 Ho 2.71-2.88
Se 0.1351 0.1351 0.5993  3 Ho 2.72-2.88, 1 Tm 2.86
Se 0.1351 0.5993 0.1351  3 Ho 2.72-2.88, 1 Tm 2.86
Se 0.1375 0.6201 0.6201  1 Mg 2.63, 1 Tm 2.83, 2 Ho 2.85
Se 0.5993 0.1351 0.1351  3 Ho 2.72-2.88, 1 Tm 2.86
Se 0.6201 0.1375 0.6201  1 Mg 2.63, 1 Tm 2.83, 2 Ho 2.85
Se 0.6201 0.6201 0.1375  1 Mg 2.63, 1 Tm 2.83, 2 Ho 2.85
Se 0.6212 0.6212 0.6212  1 Mg 2.62, 3 Ho 2.85

---

Entry 3:
Compound: Ac3AgN
Source: the Alexandria database
Functional: GGA-PBE
Structure: relaxed

## Properties
- SG: C2/m (12)
- ΔE_f (raw): -0.48 eV per atom
- Total magnetization: 0.00 μB/cell
- Distance to the lowest polymorph of the same formula: 0.0 meV/atom
- Uncorrected energy: -5.181 eV per atom

Cell lengths 6.8296, 6.8296, 9.0038 Å; angles 108.22, 108.22, 47.88 degrees
With the nearest neighbours (Å) after each atom.
Element x y z (fractional)
Ac 0.1044 0.1044 0.2010  2 N 2.61-2.67
Ac 0.1537 0.1537 0.6561  1 N 2.54
Ac 0.3627 0.3627 0.0757  3 N 2.78-2.84
Ac 0.6373 0.6373 0.9243  3 N 2.78-2.84
Ac 0.8463 0.8463 0.3439  1 N 2.54
Ac 0.8956 0.8956 0.7990  2 N 2.61-2.67
Ag 0.4090 0.4090 0.5675  1 Ag 2.92
Ag 0.5910 0.5910 0.4325  1 Ag 2.92
N 0.1227 0.1227 0.9209  6 Ac 2.54-2.84
N 0.8773 0.8773 0.0791  6 Ac 2.54-2.84